# 1
This record from Alexandria via LeMat-Bulk describes crystalline La2TbSm2 at its relaxed geometry. The functional is GGA-PBE.

a b c (Å): 6.3810 6.3810 9.6031
angles (deg): 110.86 102.05 98.61
Element x y z (fractional)
La: 0.4451 0.3659 0.1493
La: 0.2166 0.7958 0.3507
La: 0.5549 0.6341 0.8507
La: 0.7834 0.2042 0.6493
Tb: 0.7155 0.9655 0.2500
Tb: 0.2845 0.0345 0.7500
Sm: 0.8920 0.2486 0.0250
Sm: 0.2236 0.3670 0.4750
Sm: 0.1080 0.7514 0.9750
Sm: 0.7764 0.6330 0.5250

Values from the calculation:
* energy of formation from the pure elements: 0.5 eV/f.u.
* calculated total energy: -4.676 eV/atom
* relative energy among the computed polymorphs: 0.0389 eV per atom
* total moment: 0.00 μB/atom



# 2
This record from Alexandria via LeMat-Bulk describes crystalline La4Tb8Sm3 at its relaxed geometry. The functional is GGA-PBE.

a b c (Å): 6.8484 9.4045 9.4045
angles (deg): 87.14 111.40 111.40
Element x y z (fractional)
La: 0.5000 0.0000 0.0000
La: 0.0000 0.5000 0.0000
La: 0.0000 0.0000 0.0000
La: 0.0000 0.0000 0.5000
Tb: 0.5280 0.2685 0.2685
Tb: 0.0000 0.6386 0.3614
Tb: 0.0061 0.2709 0.2709
Tb: 0.5000 0.7426 0.2574
Tb: 0.5000 0.2574 0.7426
Tb: 0.9939 0.7291 0.7291
Tb: 0.0000 0.3614 0.6386
Tb: 0.4720 0.7315 0.7315
Sm: 0.5000 0.5000 0.0000
Sm: 0.5000 0.0000 0.5000
Sm: 0.5000 0.5000 0.5000

Values from the calculation:
* energy of formation from the pure elements: 5.1 eV/f.u.
* calculated total energy: -4.390 eV/atom
* total moment: 0.00 μB/atom



# 3
This record from Alexandria via LeMat-Bulk describes crystalline La3Tb7Sm at its relaxed geometry. The functional is GGA-PBE.

a b c (Å): 6.4437 7.7734 7.7622
angles (deg): 81.67 86.63 86.58
Element x y z (fractional)
La: 0.0003 0.8215 0.1786
La: 0.5000 0.0000 0.0000
La: 0.9997 0.1785 0.8214
Tb: 0.7910 0.2391 0.2393
Tb: 0.7373 0.9109 0.5714
Tb: 0.2625 0.4286 0.0887
Tb: 0.7375 0.5714 0.9113
Tb: 0.0000 0.5000 0.5000
Tb: 0.2627 0.0891 0.4286
Tb: 0.2090 0.7609 0.7607
Sm: 0.5000 0.5000 0.5000

Values from the calculation:
* energy of formation from the pure elements: 2.4 eV/f.u.
* calculated total energy: -4.503 eV/atom
* relative energy among the computed polymorphs: 0.0448 eV per atom
* total moment: 0.00 μB/atom



# 4
This record from Alexandria via LeMat-Bulk describes crystalline LaTb2Sm8 at its relaxed geometry. The functional is GGA-PBE.

a b c (Å): 5.6508 8.3137 9.4650
angles (deg): 116.05 107.37 90.00
Element x y z (fractional)
La: 0.5000 0.0000 0.0000
Tb: 0.1996 0.6996 0.3993
Tb: 0.8004 0.3004 0.6007
Sm: 0.6395 0.8438 0.2790
Sm: 0.3605 0.5647 0.7210
Sm: 0.1630 0.1630 0.3259
Sm: 0.0000 0.2952 0.0000
Sm: 0.8370 0.8370 0.6741
Sm: 0.6395 0.4353 0.2790
Sm: 0.3605 0.1562 0.7210
Sm: 0.0000 0.7048 0.0000

Values from the calculation:
* energy of formation from the pure elements: 1.2 eV/f.u.
* calculated total energy: -4.610 eV/atom
* relative energy among the computed polymorphs: 0.0000 eV per atom
* total moment: 0.00 μB/atom



# 5
This record from Alexandria via LeMat-Bulk describes crystalline LaTb3Sm3 at its relaxed geometry. The functional is GGA-PBE.

a b c (Å): 8.1337 6.4081 6.4081
angles (deg): 103.38 115.03 115.03
Element x y z (fractional)
La: 0.5616 0.0000 0.0000
Tb: 0.0166 0.5984 0.5984
Tb: 0.4182 0.0000 0.4016
Tb: 0.4182 0.4016 0.0000
Sm: 0.6119 0.6377 0.6377
Sm: 0.9743 0.0000 0.3624
Sm: 0.9743 0.3624 0.0000

Values from the calculation:
* energy of formation from the pure elements: 1.6 eV/f.u.
* calculated total energy: -4.485 eV/atom
* relative energy among the computed polymorphs: 0.0000 eV per atom
* total moment: 0.00 μB/atom



# 6
This record from Alexandria via LeMat-Bulk describes crystalline La2Tb15Sm2 at its relaxed geometry. The functional is GGA-PBE.

a b c (Å): 8.7949 8.7949 8.7949
angles (deg): 80.23 80.23 80.23
Element x y z (fractional)
La: 0.6709 0.6709 0.6709
La: 0.3291 0.3291 0.3291
Tb: 0.0000 0.5000 0.0000
Tb: 0.0000 0.0000 0.5000
Tb: 0.5000 0.0000 0.0000
Tb: 0.2981 0.0000 0.7019
Tb: 0.7019 0.2981 0.0000
Tb: 0.0000 0.7019 0.2981
Tb: 0.2981 0.7019 0.0000
Tb: 0.0000 0.2981 0.7019
Tb: 0.7019 0.0000 0.2981
Tb: 0.3680 0.8497 0.3680
Tb: 0.3680 0.3680 0.8497
Tb: 0.8497 0.3680 0.3680
Tb: 0.6320 0.1503 0.6320
Tb: 0.6320 0.6320 0.1503
Tb: 0.1503 0.6320 0.6320
Sm: 0.9070 0.9070 0.9070
Sm: 0.0930 0.0930 0.0930

Values from the calculation:
* energy of formation from the pure elements: 5.1 eV/f.u.
* calculated total energy: -4.404 eV/atom
* total moment: 0.00 μB/atom



Look up the total moment of the fifth one.
0.00 μB/atom